A plane-wave DFT calculation with PBE was carried out for an optimized crystal structure of BrCl2F3.

Cell: 4.736 4.926 14.811 Å, 95.46 91.89 117.01°
Atoms (fractional coordinates):
Br 0.106 0.473 0.105
Br 0.894 0.527 0.895
Cl 0.166 0.934 0.640
Cl 0.475 0.306 0.588
Cl 0.525 0.694 0.412
Cl 0.834 0.066 0.360
F 0.048 0.621 0.215
F 0.138 0.326 0.964
F 0.321 0.285 0.151
F 0.679 0.715 0.849
F 0.862 0.674 0.036
F 0.952 0.379 0.785

## Properties
Total DFT energy (no corrections) (eV for the cell shown): -28.99
Formation energy from raw total energies (eV per atom): -0.59